[1]
The following is a DFT calculation (PBE-GGA) of a geometry-optimized NbSiI2 structure.

CIF file:
```
data_NbSiI2
_cell_length_a 7.077
_cell_length_b 7.077
_cell_length_c 7.077
_cell_angle_alpha 90.00
_cell_angle_beta 90.00
_cell_angle_gamma 90.00
_space_group_name_H-M_alt 'F m -3 m'
_space_group_IT_number 225
_space_group_name_Hall '-F 4 2 3'
loop_
_atom_site_label
_atom_site_type_symbol
_atom_site_fract_x
_atom_site_fract_y
_atom_site_fract_z
Nb1 Nb 0.000 0.000 0.000
Si1 Si 0.000 0.000 0.500
I1 I 0.250 0.250 0.250
```

Calculated values
Uncorrected formation energy, eV per atom: 0.70
Spin magnetization, μB/cell: 0.00
N(E_F), states/eV per atom: 0.51

---

[2]
The following is a DFT calculation (PBE-GGA) of a geometry-optimized RbHfTaTi2 structure.

CIF file:
```
data_RbHfTaTi2
_cell_length_a 4.603
_cell_length_b 4.603
_cell_length_c 5.035
_cell_angle_alpha 90.00
_cell_angle_beta 90.00
_cell_angle_gamma 90.00
_space_group_name_H-M_alt 'P 4/m m m'
_space_group_IT_number 123
_space_group_name_Hall '-P 4 2'
loop_
_atom_site_label
_atom_site_type_symbol
_atom_site_fract_x
_atom_site_fract_y
_atom_site_fract_z
Rb1 Rb 0.000 0.000 0.000
Hf1 Hf 0.500 0.500 0.500
Ta1 Ta 0.000 0.000 0.500
Ti1 Ti 0.000 0.500 0.000
```

Calculated values
Spin magnetization, μB/cell: 0.00
E_form, eV per formula unit: 10.805
N(E_F), states/eV per atom: 1.26

---

[3]
The following is a DFT calculation (PBE-GGA) of a geometry-optimized Ac3MgHg structure.

CIF file:
```
data_Ac3MgHg
_cell_length_a 5.783
_cell_length_b 21.772
_cell_length_c 5.772
_cell_angle_alpha 90.00
_cell_angle_beta 90.00
_cell_angle_gamma 90.00
_space_group_name_H-M_alt 'C m c m'
_space_group_IT_number 63
_space_group_name_Hall '-C 2c 2'
loop_
_atom_site_label
_atom_site_type_symbol
_atom_site_fract_x
_atom_site_fract_y
_atom_site_fract_z
Ac1 Ac 0.000 0.062 0.250
Ac2 Ac 0.000 0.249 0.250
Ac3 Ac 0.000 0.434 0.250
Mg1 Mg 0.000 0.154 0.750
Hg1 Hg 0.000 0.344 0.750
```

Calculated values
Spin magnetization, μB/cell: 0.00
E_form, eV per formula unit: -0.987
N(E_F), states/eV per atom: 1.24

---

[4]
The following is a DFT calculation (PBE-GGA) of a geometry-optimized In2NiW structure.

CIF file:
```
data_In2NiW
_cell_length_a 2.998
_cell_length_b 5.043
_cell_length_c 9.240
_cell_angle_alpha 90.00
_cell_angle_beta 90.00
_cell_angle_gamma 90.00
_space_group_name_H-M_alt 'I m m m'
_space_group_IT_number 71
_space_group_name_Hall '-I 2 2'
loop_
_atom_site_label
_atom_site_type_symbol
_atom_site_fract_x
_atom_site_fract_y
_atom_site_fract_z
In1 In 0.000 0.000 0.225
Ni1 Ni 0.000 0.500 0.500
W1 W 0.000 0.500 0.000
```

Calculated values
Spin magnetization, μB/cell: 0.00
E_form, eV per formula unit: 2.004
N(E_F), states/eV per atom: 0.81

---

[5]
The following is a DFT calculation (PBE-GGA) of a geometry-optimized TbSm2GeN4 structure.

CIF file:
```
data_TbSm2GeN4
_cell_length_a 3.555
_cell_length_b 11.485
_cell_length_c 11.956
_cell_angle_alpha 90.00
_cell_angle_beta 90.00
_cell_angle_gamma 90.00
_space_group_name_H-M_alt 'C m c m'
_space_group_IT_number 63
_space_group_name_Hall '-C 2c 2'
loop_
_atom_site_label
_atom_site_type_symbol
_atom_site_fract_x
_atom_site_fract_y
_atom_site_fract_z
Tb1 Tb 0.000 0.105 0.250
Sm1 Sm 0.000 0.369 0.045
Ge1 Ge 0.000 0.162 0.750
N1 N 0.000 0.000 0.000
N2 N 0.000 0.275 0.634
N3 N 0.000 0.427 0.250
```

Calculated values
Uncorrected formation energy, eV per atom: -0.94
Spin magnetization, μB/cell: 0.00
N(E_F), states/eV per atom: 0.14

---

[6]
The following is a DFT calculation (PBE-GGA) of a geometry-optimized VRuRh structure.

CIF file:
```
data_VRuRh
_cell_length_a 9.914
_cell_length_b 2.713
_cell_length_c 7.228
_cell_angle_alpha 90.00
_cell_angle_beta 121.42
_cell_angle_gamma 90.00
_space_group_name_H-M_alt 'C 1 m 1'
_space_group_IT_number 8
_space_group_name_Hall 'C -2y'
loop_
_atom_site_label
_atom_site_type_symbol
_atom_site_fract_x
_atom_site_fract_y
_atom_site_fract_z
V1 V 0.000 0.000 0.000
V2 V 0.238 0.500 0.662
Ru1 Ru 0.230 0.500 0.306
Ru2 Ru 0.265 0.000 0.995
Rh1 Rh 0.008 0.000 0.353
Rh2 Rh 0.475 0.000 0.672
```

Calculated values
Spin magnetization, μB/cell: 0.00
E_form, eV per formula unit: -0.558
N(E_F), states/eV per atom: 0.85

---

[7]
The following is a DFT calculation (PBE-GGA) of a geometry-optimized Sm3PuAg3Se8 structure.

CIF file:
```
data_Sm3PuAg3Se8
_cell_length_a 13.652
_cell_length_b 8.497
_cell_length_c 8.056
_cell_angle_alpha 90.00
_cell_angle_beta 121.44
_cell_angle_gamma 90.00
_space_group_name_H-M_alt 'C 1 2/m 1'
_space_group_IT_number 12
_space_group_name_Hall '-C 2y'
loop_
_atom_site_label
_atom_site_type_symbol
_atom_site_fract_x
_atom_site_fract_y
_atom_site_fract_z
Sm1 Sm 0.000 0.000 0.000
Sm2 Sm 0.250 0.250 0.500
Pu1 Pu 0.000 0.500 0.000
Ag1 Ag 0.000 0.500 0.500
Ag2 Ag 0.250 0.250 0.000
Se1 Se 0.001 0.256 0.756
Se2 Se 0.245 0.500 0.244
Se3 Se 0.249 0.500 0.750
```

Calculated values
Uncorrected formation energy, eV per atom: -1.16
Spin magnetization, μB/cell: 7.97
N(E_F), states/eV per atom: 0.93